# 1
Cu24Ni5: relaxed, GGA-PBE.

CIF file:
```
data_Cu24Ni5
_cell_length_a 8.841
_cell_length_b 8.841
_cell_length_c 8.841
_cell_angle_alpha 90.00
_cell_angle_beta 90.00
_cell_angle_gamma 90.00
_space_group_name_H-M_alt 'I -4 3 m'
_space_group_IT_number 217
_space_group_name_Hall 'I -4 2 3'
loop_
_atom_site_label
_atom_site_type_symbol
_atom_site_fract_x
_atom_site_fract_y
_atom_site_fract_z
Cu1 Cu 0.048 0.361 0.361
Cu2 Cu 0.093 0.093 0.283
Ni1 Ni 0.000 0.000 0.000
Ni2 Ni 0.173 0.173 0.827
```

- Formation enthalpy at 0 K: 2.25 eV/f.u.

# 2
Er4Bi3H: relaxed, GGA-PBE.

CIF file:
```
data_Er4Bi3H
_cell_length_a 9.661
_cell_length_b 8.341
_cell_length_c 6.247
_cell_angle_alpha 90.00
_cell_angle_beta 90.00
_cell_angle_gamma 90.00
_space_group_name_H-M_alt 'P m n 21'
_space_group_IT_number 31
loop_
_space_group_symop_operation_xyz
'x,y,z'
'-x+1/2,-y,z+1/2'
'-x,y,z'
'x+1/2,-y,z+1/2'
loop_
_atom_site_label
_atom_site_type_symbol
_atom_site_fract_x
_atom_site_fract_y
_atom_site_fract_z
Er1 Er 0.000 0.090 0.000
Er2 Er 0.000 0.832 0.483
Er3 Er 0.192 0.712 0.000
Bi1 Bi 0.000 0.192 0.504
Bi2 Bi 0.231 0.346 0.003
H1 H 0.000 0.837 0.842
```

- Energy: -4.507 eV/atom

Number 1: spin magnetization 0.0 μB/cell. Number 2: spin magnetization 0.0 μB/cell.